(1)
A plane-wave DFT calculation with PBE was carried out for Na3Li2WS6 after structural relaxation.

POSCAR file:
```
Na3Li2WS6
1.0
3.188 -5.545 0.000
3.188 5.545 0.000
-2.143 0.000 6.532
Na Li W S
3 2 1 6
Direct
0.000 0.000 0.000
0.328 0.672 0.000
0.672 0.328 0.000
0.167 0.833 0.500
0.833 0.167 0.500
0.500 0.500 0.500
0.119 0.430 0.290
0.261 0.261 0.709
0.430 0.119 0.290
0.570 0.881 0.710
0.739 0.739 0.291
0.881 0.570 0.710
```

---

(2)
A plane-wave DFT calculation with PBE was carried out for Na2LiWS4 after structural relaxation.

POSCAR file:
```
Na2LiWS4
1.0
-3.132 3.132 5.221
3.132 -3.132 5.221
3.132 3.132 -5.221
Na Li W S
2 1 1 4
Direct
0.000 0.000 0.000
0.750 0.250 0.500
0.500 0.500 0.000
0.250 0.750 0.500
0.182 0.639 0.080
0.361 0.441 0.542
0.559 0.101 0.920
0.899 0.818 0.458
```

---

We obtain formation energy from raw total energies values of -808; -848 meV per atom for the records listed above, in that order.